An optimized crystal structure of HgWI2Cl, computed with PBEsol.

a = 4.611 Å, b = 5.526 Å, c = 5.526 Å
α = 90.00°, β = 90.00°, γ = 90.00°
Last column: magnetic moment on the atom in μB.
Positions (direct):
Hg 0.500 0.500 0.500  -0.01
I 0.000 0.500 0.000  0.05
Cl 0.500 0.000 0.000  0.00
W 0.000 0.000 0.000  0.98
I 0.000 0.000 0.500  0.05

SG: No. 123
Density in g/cm³: 7.945
Final energy in eV/atom: -3.7213
Formation energy from raw total energies in eV/atom: 0.26